(1)
{"formula": "Ac2AlGe3Pt4", "functional": "PBE-GGA", "state": "relaxed", "lattice": [[4.4803, 0.0000, 0.0000], [0.0000, 4.4803, 0.0000], [0.0000, 0.0000, 10.2752]], "species": ["Ac", "Ac", "Al", "Ge", "Ge", "Ge", "Pt", "Pt", "Pt", "Pt"], "fractional_positions": [[0.5000, 0.0000, 0.2495], [0.0000, 0.5000, 0.7505], [0.5000, 0.5000, 0.5000], [0.0000, 0.0000, 0.5000], [0.5000, 0.0000, 0.8745], [0.0000, 0.5000, 0.1255], [0.5000, 0.5000, 0.0000], [0.0000, 0.0000, 0.0000], [0.5000, 0.0000, 0.6255], [0.0000, 0.5000, 0.3745]], "delta_e_f_ev_per_atom": -0.990, "energy_ev_per_cell": -59.9, "crystal_system": "tetragonal"}

=====

(2)
{"formula": "ThAl3ZnCu", "functional": "PBE-GGA", "state": "relaxed", "lattice": [[-0.9950, -2.6920, 5.0290], [-4.4324, -3.4301, -2.7130], [6.5494, -2.6952, -0.1470]], "species": ["Th", "Th", "Al", "Al", "Al", "Al", "Al", "Al", "Zn", "Zn", "Cu", "Cu"], "fractional_positions": [[0.7500, 0.2895, 0.5791], [0.2500, 0.7105, 0.4209], [0.2500, 0.1355, 0.2710], [0.0000, 0.2907, 0.0000], [0.5000, 0.7093, 0.0000], [0.5000, 0.2907, 0.0000], [0.0000, 0.7093, 0.0000], [0.7500, 0.8645, 0.7290], [0.2500, 0.3481, 0.6962], [0.7500, 0.6519, 0.3038], [0.2500, 0.9286, 0.8571], [0.7500, 0.0714, 0.1429]], "delta_e_f_ev_per_atom": -0.083, "energy_ev_per_cell": -49.0, "crystal_system": "orthorhombic"}

=====

(3)
{"formula": "AcNi4AsP2", "functional": "PBE-GGA", "state": "relaxed", "lattice": [[3.8812, 0.0000, 0.0000], [0.0000, 3.8812, 0.0000], [0.0000, 0.0000, 8.5467]], "species": ["Ac", "Ni", "Ni", "Ni", "Ni", "As", "P", "P"], "fractional_positions": [[0.0000, 0.0000, 0.5000], [0.0000, 0.5000, 0.1651], [0.5000, 0.0000, 0.8349], [0.5000, 0.0000, 0.1651], [0.0000, 0.5000, 0.8349], [0.0000, 0.0000, 0.0000], [0.5000, 0.5000, 0.2958], [0.5000, 0.5000, 0.7042]], "delta_e_f_ev_per_atom": -0.653, "energy_ev_per_cell": -47.9, "crystal_system": "tetragonal"}

=====

(4)
{"formula": "AcAg3Ge2", "functional": "PBE-GGA", "state": "relaxed", "lattice": [[-3.5285, 1.6624, 2.1267], [-0.6861, -8.5277, 0.8876], [4.7881, 3.4799, 5.2239]], "species": ["Ac", "Ac", "Ag", "Ag", "Ag", "Ag", "Ag", "Ag", "Ge", "Ge", "Ge", "Ge"], "fractional_positions": [[0.8515, 0.7030, 0.9295], [0.1485, 0.2970, 0.0705], [0.3136, 0.6272, 0.5527], [0.9553, 0.9107, 0.6201], [0.6010, 0.2020, 0.6933], [0.3990, 0.7980, 0.3067], [0.0447, 0.0893, 0.3799], [0.6864, 0.3728, 0.4473], [0.4807, 0.9615, 0.8292], [0.5193, 0.0385, 0.1708], [0.8033, 0.6067, 0.2962], [0.1967, 0.3933, 0.7038]], "delta_e_f_ev_per_atom": -0.318, "energy_ev_per_cell": -47.6, "crystal_system": "monoclinic"}

=====

(5)
{"formula": "CrIr2Rh8", "functional": "PBE-GGA", "state": "relaxed", "lattice": [[-1.7345, -3.5314, 1.3273], [-1.5725, -1.4847, -6.0054], [5.7937, -2.5928, 0.6723]], "species": ["Cr", "Ir", "Ir", "Rh", "Rh", "Rh", "Rh", "Rh", "Rh", "Rh", "Rh"], "fractional_positions": [[0.5000, 0.0000, 0.0000], [0.0000, 0.6241, 0.3759], [0.0000, 0.3759, 0.6241], [0.0000, 0.9654, 0.7046], [0.0000, 0.7046, 0.9654], [0.5000, 0.6723, 0.6723], [0.5000, 0.2417, 0.7583], [0.5000, 0.7583, 0.2417], [0.5000, 0.3277, 0.3277], [0.0000, 0.2954, 0.0346], [0.0000, 0.0346, 0.2954]], "polymorph_energy_mev_per_atom": 0.0, "delta_e_f_ev_per_atom": 0.208, "energy_ev_per_cell": -83.9, "crystal_system": "orthorhombic"}

=====

(6)
{"formula": "La4In5Pd2", "functional": "PBE-GGA", "state": "relaxed", "lattice": [[3.8371, 0.0000, 0.0000], [0.0000, 7.9474, -0.0144], [0.0000, -0.7861, 10.0214]], "species": ["La", "La", "La", "La", "In", "In", "In", "In", "In", "Pd", "Pd"], "fractional_positions": [[0.5000, 0.7639, 0.5571], [0.5000, 0.1730, 0.8610], [0.5000, 0.2361, 0.4429], [0.5000, 0.8270, 0.1390], [0.0000, 0.5490, 0.3118], [0.0000, 0.1865, 0.1559], [0.0000, 0.5000, 0.0000], [0.0000, 0.8135, 0.8441], [0.0000, 0.4510, 0.6882], [0.0000, 0.0698, 0.6389], [0.0000, 0.9302, 0.3611]], "delta_e_f_ev_per_atom": -0.611, "energy_ev_per_cell": -50.5, "crystal_system": "monoclinic"}

=====

(7)
{"formula": "PmNpGeIr", "functional": "PBE-GGA", "state": "relaxed", "lattice": [[5.0135, 0.0000, 0.0000], [2.5068, 4.3419, 0.0000], [2.5068, 1.4473, 4.0935]], "species": ["Np", "Ge", "Ir", "Pm"], "fractional_positions": [[0.0000, 0.0000, 0.0000], [0.2500, 0.2500, 0.2500], [0.7500, 0.7500, 0.7500], [0.5000, 0.5000, 0.5000]], "delta_e_f_ev_per_atom": -0.260, "energy_ev_per_cell": -32.2, "crystal_system": "cubic"}

=====

(8)
{"formula": "Cd2NiCl", "functional": "PBE-GGA", "state": "relaxed", "lattice": [[5.5177, 0.0946, 0.0000], [2.4612, 4.9393, 0.0000], [-3.9895, -2.5169, 2.8642]], "species": ["Cd", "Cd", "Cl", "Ni"], "fractional_positions": [[0.0000, 0.0000, 0.0000], [0.5000, 0.5000, 0.0000], [0.2500, 0.7500, 0.5000], [0.7500, 0.2500, 0.5000]], "polymorph_energy_mev_per_atom": 455.1, "e_form_raw_ev_per_atom": 0.27, "energy_ev_per_cell": -8.4, "crystal_system": "tetragonal"}

=====

(9)
{"formula": "SnB2Pd8", "functional": "PBE-GGA", "state": "relaxed", "lattice": [[4.3068, -0.0412, -0.0618], [-0.7675, 6.2980, 0.0302], [-0.7675, -2.3977, 5.8238]], "species": ["Sn", "B", "B", "Pd", "Pd", "Pd", "Pd", "Pd", "Pd", "Pd", "Pd"], "fractional_positions": [[0.5000, 0.0000, 0.0000], [0.0000, 0.3233, 0.6767], [0.0000, 0.6767, 0.3233], [0.9127, 0.9372, 0.6687], [0.9127, 0.6687, 0.9372], [0.2937, 0.6110, 0.6110], [0.5000, 0.7427, 0.2573], [0.5000, 0.2573, 0.7427], [0.7063, 0.3890, 0.3890], [0.0873, 0.3313, 0.0628], [0.0873, 0.0628, 0.3313]], "delta_e_f_ev_per_atom": -0.251, "energy_ev_per_cell": -61.7, "crystal_system": "monoclinic"}

=====

(10)
{"formula": "Mg2TaRh3", "functional": "PBE-GGA", "state": "relaxed", "lattice": [[3.1842, 0.0000, 0.0000], [0.0000, 3.1842, 0.0000], [0.0000, 0.0000, 9.2818]], "species": ["Mg", "Mg", "Ta", "Rh", "Rh", "Rh"], "fractional_positions": [[0.5000, 0.5000, 0.8425], [0.5000, 0.5000, 0.1575], [0.5000, 0.5000, 0.5000], [0.0000, 0.0000, 0.0000], [0.0000, 0.0000, 0.6588], [0.0000, 0.0000, 0.3412]], "delta_e_f_ev_per_atom": -0.599, "energy_ev_per_cell": -40.7, "crystal_system": "tetragonal"}

=====

(11)
{"formula": "Pm4GeAs2Br", "functional": "PBE-GGA", "state": "relaxed", "lattice": [[4.2522, 0.0000, 0.0000], [0.0000, 7.3541, -0.1699], [0.0000, 2.5653, 6.9097]], "species": ["Pm", "Pm", "Pm", "Pm", "Ge", "As", "As", "Br"], "fractional_positions": [[0.0000, 0.7665, 0.7305], [0.0000, 0.2335, 0.2695], [0.5000, 0.7550, 0.2574], [0.5000, 0.2450, 0.7426], [0.0000, 0.5000, 0.5000], [0.0000, 0.0000, 0.0000], [0.5000, 0.0000, 0.5000], [0.5000, 0.5000, 0.0000]], "e_form_raw_ev_per_atom": -1.35, "energy_ev_per_cell": -45.4, "crystal_system": "monoclinic"}

=====

(12)
{"formula": "Nd2ScSn2", "functional": "PBE-GGA", "state": "relaxed", "lattice": [[4.6542, 0.0000, 0.0000], [0.0000, 7.8805, 0.0000], [0.0000, 0.0000, 7.8805]], "species": ["Nd", "Nd", "Nd", "Nd", "Sc", "Sc", "Sn", "Sn", "Sn", "Sn"], "fractional_positions": [[0.5000, 0.1717, 0.6717], [0.5000, 0.6717, 0.8283], [0.5000, 0.8283, 0.3283], [0.5000, 0.3283, 0.1717], [0.0000, 0.0000, 0.0000], [0.0000, 0.5000, 0.5000], [0.0000, 0.3664, 0.8664], [0.0000, 0.8664, 0.6336], [0.0000, 0.6336, 0.1336], [0.0000, 0.1336, 0.3664]], "polymorph_energy_mev_per_atom": 0.0, "delta_e_f_ev_per_atom": -0.706, "energy_ev_per_cell": -54.8, "crystal_system": "tetragonal"}

=====

(13)
{"formula": "Pu3Th2NpN6", "functional": "PBE-GGA", "state": "relaxed", "lattice": [[6.1528, 0.0026, 0.0002], [-3.0727, 5.3306, 0.0002], [-1.0277, -1.7795, 5.7629]], "species": ["Pu", "Pu", "Pu", "Th", "Th", "Np", "N", "N", "N", "N", "N", "N"], "fractional_positions": [[0.1659, 0.8341, 0.5000], [0.8341, 0.1659, 0.5000], [0.5000, 0.5000, 0.5000], [0.3334, 0.6666, 0.0000], [0.6666, 0.3334, 0.0000], [0.0000, 0.0000, 0.0000], [0.9154, 0.5967, 0.7464], [0.7654, 0.7654, 0.2555], [0.0846, 0.4033, 0.2536], [0.5967, 0.9154, 0.7464], [0.2346, 0.2346, 0.7445], [0.4033, 0.0846, 0.2536]], "e_form_raw_ev_per_atom": -1.32, "energy_ev_per_cell": -136.6, "crystal_system": "monoclinic"}

=====

(14)
{"formula": "V4Tc5W", "functional": "PBE-GGA", "state": "relaxed", "lattice": [[-0.1620, 2.7969, -1.2050], [-2.0402, 0.7962, 2.1223], [11.3100, 4.5965, 9.1482]], "species": ["V", "V", "V", "V", "Tc", "Tc", "Tc", "Tc", "Tc", "W"], "fractional_positions": [[0.0000, 0.0000, 0.2053], [0.0000, 0.0000, 0.4017], [0.0000, 0.0000, 0.5983], [0.0000, 0.0000, 0.7947], [0.5000, 0.5000, 0.1059], [0.5000, 0.5000, 0.3023], [0.5000, 0.5000, 0.5000], [0.5000, 0.5000, 0.6977], [0.5000, 0.5000, 0.8941], [0.0000, 0.0000, 0.0000]], "delta_e_f_ev_per_atom": -0.294, "energy_ev_per_cell": -104.2, "crystal_system": "tetragonal"}

=====

(15)
{"formula": "K2AlBr", "functional": "PBE-GGA", "state": "relaxed", "lattice": [[0.0000, 4.2492, 4.2492], [4.2492, 0.0000, 4.2492], [4.2492, 4.2492, 0.0000]], "species": ["K", "K", "Al", "Br"], "fractional_positions": [[0.2500, 0.2500, 0.2500], [0.7500, 0.7500, 0.7500], [0.0000, 0.0000, 0.0000], [0.5000, 0.5000, 0.5000]], "polymorph_energy_mev_per_atom": 299.4, "e_form_raw_ev_per_atom": -0.22, "energy_ev_per_cell": -8.5, "crystal_system": "cubic"}

=====

(16)
{"formula": "HgAs2", "functional": "PBE-GGA", "state": "relaxed", "lattice": [[2.5050, -4.3388, 0.0000], [2.5050, 4.3388, 0.0000], [0.0000, 0.0000, 6.2578]], "species": ["Hg", "Hg", "As", "As", "As", "As"], "fractional_positions": [[0.0000, 0.0000, 0.2500], [0.0000, 0.0000, 0.7500], [0.6667, 0.3333, 0.4532], [0.3333, 0.6667, 0.9532], [0.3333, 0.6667, 0.5468], [0.6667, 0.3333, 0.0468]], "delta_e_f_ev_per_atom": 0.266, "energy_ev_per_cell": -17.6, "crystal_system": "hexagonal"}

=====

(17)
{"formula": "Nd2GaGe4Au3", "functional": "PBE-GGA", "state": "relaxed", "lattice": [[-3.7080, 0.7129, -2.4348], [-2.4724, -1.9826, 3.1847], [-1.3286, 9.2637, 4.7357]], "species": ["Nd", "Nd", "Ga", "Ge", "Ge", "Ge", "Ge", "Au", "Au", "Au"], "fractional_positions": [[0.5000, 0.0000, 0.2492], [0.0000, 0.5000, 0.7508], [0.5000, 0.5000, 0.5000], [0.5000, 0.5000, 0.0000], [0.0000, 0.0000, 0.0000], [0.5000, 0.0000, 0.6306], [0.0000, 0.5000, 0.3694], [0.0000, 0.0000, 0.5000], [0.5000, 0.0000, 0.8679], [0.0000, 0.5000, 0.1321]], "delta_e_f_ev_per_atom": -0.495, "energy_ev_per_cell": -45.8, "crystal_system": "tetragonal"}

=====

(18)
{"formula": "NbHO2", "functional": "PBE-GGA", "state": "relaxed", "lattice": [[0.6813, 3.6339, 3.8386], [3.3408, 2.5504, 3.2769], [2.2001, 4.6055, 1.5339]], "species": ["H", "Nb", "O", "O"], "fractional_positions": [[0.0000, 0.0000, 0.0000], [0.5000, 0.5000, 0.5000], [0.9213, 0.9213, 0.9213], [0.0787, 0.0787, 0.0787]], "energy_ev_per_cell": -30.0, "crystal_system": "trigonal"}

=====

(19)
{"formula": "Ga3AsPb", "functional": "PBE-GGA", "state": "relaxed", "lattice": [[5.3633, 0.0000, 0.0000], [0.0000, 5.3633, 0.0000], [0.0000, 0.0000, 5.3633]], "species": ["Pb", "As", "Ga", "Ga", "Ga"], "fractional_positions": [[0.0000, 0.0000, 0.0000], [0.5000, 0.5000, 0.5000], [0.0000, 0.5000, 0.0000], [0.0000, 0.0000, 0.5000], [0.5000, 0.0000, 0.0000]], "polymorph_energy_mev_per_atom": 502.6, "delta_e_f_ev_per_atom": 0.810, "energy_ev_per_cell": -13.4, "crystal_system": "cubic"}

=====

(20)
{"formula": "ScTcTeN2", "functional": "PBE-GGA", "state": "relaxed", "lattice": [[-0.6300, 1.3878, 3.7952], [1.5757, -3.4527, 1.5241], [5.4652, 2.4923, -0.0041]], "species": ["Sc", "Te", "Tc", "N", "N"], "fractional_positions": [[0.0000, 0.0000, 0.0000], [0.0000, 0.0000, 0.5000], [0.5000, 0.5000, 0.5000], [0.0000, 0.5000, 0.0000], [0.5000, 0.0000, 0.0000]], "polymorph_energy_mev_per_atom": 879.8, "e_form_raw_ev_per_atom": 1.08, "energy_ev_per_cell": -31.1, "crystal_system": "tetragonal"}